Entry 1:
{"formula": "YAg2Rh", "functional": "PBE", "state": "relaxed", "lattice_angstrom": [[5.469, -0.019, -0.032], [2.553, 4.837, 0.032], [-3.995, -2.436, 2.832]], "species": ["Y", "Rh", "Ag", "Ag"], "fractional_positions": [[0.250, 0.750, 0.500], [0.750, 0.250, 0.500], [0.000, 0.000, 0.000], [0.500, 0.500, 0.000]], "de_polymorph_ev_per_fu": 0.00}

Entry 2:
{"formula": "Dy2YSc6", "functional": "PBE", "state": "relaxed", "lattice_angstrom": [[1.699, -2.942, 0.000], [1.699, 2.942, 0.000], [0.000, 0.000, 24.419]], "species": ["Dy", "Dy", "Y", "Sc", "Sc", "Sc", "Sc", "Sc", "Sc"], "fractional_positions": [[0.333, 0.667, 0.328], [0.333, 0.667, 0.672], [0.000, 0.000, 0.000], [0.333, 0.667, 0.887], [0.000, 0.000, 0.438], [0.000, 0.000, 0.784], [0.000, 0.000, 0.216], [0.000, 0.000, 0.562], [0.333, 0.667, 0.113]], "de_polymorph_ev_per_fu": 0.13}

Entry 3:
{"formula": "Zn2InRh3", "functional": "PBE", "state": "relaxed", "lattice_angstrom": [[3.108, 0.000, 0.000], [0.000, 3.108, 0.000], [0.000, 0.000, 9.213]], "species": ["Zn", "Zn", "In", "Rh", "Rh", "Rh"], "fractional_positions": [[0.500, 0.500, 0.843], [0.500, 0.500, 0.157], [0.500, 0.500, 0.500], [0.000, 0.000, 0.000], [0.000, 0.000, 0.681], [0.000, 0.000, 0.319]], "dft_energy_ev_per_atom": -4.969}

Entry 4:
{"formula": "Pr3InNi", "functional": "PBE", "state": "relaxed", "lattice_angstrom": [[-3.203, -0.583, -4.357], [-5.076, -3.597, 4.215], [-2.799, 6.548, 1.182]], "species": ["Pr", "Pr", "Pr", "Pr", "Pr", "Pr", "In", "In", "Ni", "Ni"], "fractional_positions": [[0.543, 0.986, 0.652], [0.543, 0.352, 0.020], [0.043, 0.183, 0.399], [0.043, 0.632, 0.858], [0.543, 0.505, 0.472], [0.543, 0.886, 0.145], [0.043, 0.754, 0.399], [0.043, 0.123, 0.923], [0.543, 0.666, 0.822], [0.044, 0.456, 0.188]], "de_polymorph_ev_per_fu": 0.21}

Entry 5:
{"formula": "TbIn2TcO8", "functional": "PBE", "state": "relaxed", "lattice_angstrom": [[4.981, -0.058, -0.003], [-0.038, 4.974, -0.006], [0.004, 0.007, 6.578]], "species": ["Tb", "In", "In", "Tc", "O", "O", "O", "O", "O", "O", "O", "O"], "fractional_positions": [[0.000, 0.000, 0.500], [0.500, 0.500, 0.751], [0.500, 0.500, 0.249], [0.000, 0.000, 0.000], [0.182, 0.817, 0.207], [0.716, 0.717, 0.000], [0.818, 0.183, 0.207], [0.818, 0.183, 0.793], [0.284, 0.283, 0.000], [0.182, 0.817, 0.793], [0.689, 0.691, 0.500], [0.311, 0.309, 0.500]], "formation_energy_uncorrected_ev_per_atom": -1.77}

Entry 6:
{"formula": "ZrCoMo2", "functional": "PBE", "state": "relaxed", "lattice_angstrom": [[-0.954, 1.011, 2.378], [-2.499, -1.006, -0.575], [2.002, -7.179, 3.853]], "species": ["Co", "Mo", "Mo", "Zr"], "fractional_positions": [[0.500, 0.500, 0.769], [0.000, 0.000, 0.965], [0.500, 0.500, 0.236], [0.000, 0.000, 0.531]], "de_polymorph_ev_per_fu": 0.60}

Entry 7:
{"formula": "Sr3TiPd", "functional": "PBE", "state": "relaxed", "lattice_angstrom": [[5.869, 0.000, 0.000], [0.000, 5.869, 0.000], [0.000, 0.000, 5.869]], "species": ["Sr", "Sr", "Sr", "Pd", "Ti"], "fractional_positions": [[0.000, 0.500, 0.000], [0.000, 0.000, 0.500], [0.500, 0.000, 0.000], [0.000, 0.000, 0.000], [0.500, 0.500, 0.500]], "de_polymorph_ev_per_fu": 0.00}

Entry 8:
{"formula": "CaHo4Se5", "functional": "PBE", "state": "relaxed", "lattice_angstrom": [[-3.114, -2.365, -1.097], [2.729, -6.368, -1.536], [-1.436, -5.053, 7.454]], "species": ["Ca", "Ho", "Ho", "Ho", "Ho", "Se", "Se", "Se", "Se", "Se"], "fractional_positions": [[0.000, 0.000, 0.000], [0.597, 0.210, 0.596], [0.196, 0.397, 0.211], [0.804, 0.603, 0.789], [0.403, 0.790, 0.404], [0.198, 0.907, 0.697], [0.802, 0.093, 0.303], [0.395, 0.308, 0.902], [0.000, 0.500, 0.500], [0.605, 0.692, 0.098]], "formation_energy_uncorrected_ev_per_atom": -1.78}

Entry 9:
{"formula": "Co3SnH", "functional": "PBE", "state": "relaxed", "lattice_angstrom": [[4.861, 0.000, 0.000], [0.000, 4.861, 0.000], [0.000, 0.000, 4.861]], "species": ["H", "Co", "Co", "Co", "Sn"], "fractional_positions": [[0.500, 0.500, 0.500], [0.000, 0.500, 0.000], [0.000, 0.000, 0.500], [0.500, 0.000, 0.000], [0.000, 0.000, 0.000]], "de_polymorph_ev_per_fu": 9.65}

Entry 10:
{"formula": "TmBiIr", "functional": "PBE", "state": "relaxed", "lattice_angstrom": [[3.742, 0.000, 0.000], [0.000, 3.742, 0.000], [-1.871, -1.871, 11.294]], "species": ["Ir", "Ir", "Tm", "Tm", "Bi", "Bi"], "fractional_positions": [[0.292, 0.292, 0.585], [0.708, 0.708, 0.415], [0.168, 0.168, 0.335], [0.832, 0.832, 0.665], [0.579, 0.579, 0.159], [0.421, 0.421, 0.841]], "dft_energy_ev_per_atom": -6.098}

Entry 11:
{"formula": "PmHoTlAu", "functional": "PBE", "state": "relaxed", "lattice_angstrom": [[5.298, 0.000, 0.000], [2.649, 4.588, 0.000], [2.649, 1.529, 4.326]], "species": ["Tl", "Au", "Ho", "Pm"], "fractional_positions": [[0.000, 0.000, 0.000], [0.500, 0.500, 0.500], [0.750, 0.750, 0.750], [0.250, 0.250, 0.250]], "de_polymorph_ev_per_fu": 0.24}

Entry 12:
{"formula": "Ac2SnN", "functional": "PBE", "state": "relaxed", "lattice_angstrom": [[3.455, 0.000, 0.000], [0.000, 3.455, 0.000], [0.000, 0.000, 8.321]], "species": ["Ac", "Ac", "Sn", "N"], "fractional_positions": [[0.000, 0.000, 0.808], [0.000, 0.000, 0.192], [0.500, 0.500, 0.500], [0.500, 0.500, 0.000]], "formation_energy_uncorrected_ev_per_atom": -0.46, "de_polymorph_ev_per_fu": 1.62}

Entry 13:
{"formula": "Al2HOs2", "functional": "PBE", "state": "relaxed", "lattice_angstrom": [[-3.335, 0.065, -3.703], [2.869, -3.106, -2.638], [-1.676, -3.921, -1.914]], "species": ["H", "Os", "Os", "Al", "Al"], "fractional_positions": [[0.000, 0.000, 0.000], [0.303, 0.303, 0.393], [0.697, 0.697, 0.607], [0.750, 0.250, 0.500], [0.250, 0.750, 0.500]], "de_polymorph_ev_per_fu": 3.19}

Entry 14:
{"formula": "LiTi2ZnRh", "functional": "PBE", "state": "relaxed", "lattice_angstrom": [[-3.324, -2.725, -0.306], [2.546, -2.968, -1.220], [0.590, -1.180, 4.102]], "species": ["Zn", "Li", "Rh", "Ti", "Ti"], "fractional_positions": [[0.000, 0.500, 0.000], [0.000, 0.000, 0.000], [0.500, 0.500, 0.500], [0.000, 0.000, 0.500], [0.500, 0.000, 0.000]], "dft_energy_ev_per_atom": -4.653}

Entry 15:
{"formula": "La4Pm4Al", "functional": "PBE", "state": "relaxed", "lattice_angstrom": [[7.215, -1.417, 0.281], [-0.264, 7.251, -1.225], [-3.509, -1.956, 6.165]], "species": ["La", "La", "La", "La", "Pm", "Pm", "Pm", "Pm", "Al"], "fractional_positions": [[0.000, 0.500, 0.500], [0.500, 0.000, 0.500], [0.345, 0.345, 0.000], [0.655, 0.655, 0.000], [0.000, 0.000, 0.500], [0.500, 0.000, 0.000], [0.500, 0.500, 0.500], [0.000, 0.500, 0.000], [0.000, 0.000, 0.000]], "dft_energy_ev_per_atom": -4.484}

Entry 16:
{"formula": "RbIn2BiAu", "functional": "PBE", "state": "relaxed", "lattice_angstrom": [[5.179, 0.000, 0.000], [0.000, 5.179, 0.000], [0.000, 0.001, 7.617]], "species": ["Rb", "In", "In", "Bi", "Au"], "fractional_positions": [[0.000, 0.000, 0.472], [0.000, 0.500, 0.915], [0.500, 0.000, 0.915], [0.500, 0.500, 0.668], [0.000, 0.000, 0.029]], "dft_energy_ev_per_atom": -2.882}

Entry 17:
{"formula": "La8PmTh3", "functional": "PBE", "state": "relaxed", "lattice_angstrom": [[-2.050, 5.021, 3.392], [2.935, -4.863, 2.941], [10.583, 5.411, -1.612]], "species": ["La", "La", "La", "La", "La", "La", "La", "La", "Pm", "Th", "Th", "Th"], "fractional_positions": [[0.333, 0.333, 0.760], [0.667, 0.000, 0.760], [0.000, 0.667, 0.760], [0.667, 0.667, 0.240], [0.333, 0.000, 0.240], [0.000, 0.333, 0.240], [0.333, 0.667, 0.500], [0.667, 0.333, 0.500], [0.000, 0.000, 0.500], [0.333, 0.667, 0.000], [0.667, 0.333, 0.000], [0.000, 0.000, 0.000]], "dft_energy_ev_per_atom": -5.508}

Entry 18:
{"formula": "La2AlCr", "functional": "PBE", "state": "relaxed", "lattice_angstrom": [[3.570, 0.000, 0.000], [0.000, 3.570, 0.000], [0.000, 0.000, 8.029]], "species": ["Cr", "Al", "La", "La"], "fractional_positions": [[0.500, 0.500, 0.649], [0.000, 0.000, 0.571], [0.000, 0.000, 0.938], [0.500, 0.500, 0.342]], "dft_energy_ev_per_atom": -5.610}

Entry 19:
{"formula": "AlNi2Rh", "functional": "PBE", "state": "relaxed", "lattice_angstrom": [[4.126, 0.000, 0.000], [2.063, 3.573, 0.000], [2.063, 1.191, 3.369]], "species": ["Ni", "Ni", "Rh", "Al"], "fractional_positions": [[0.000, 0.000, 0.000], [0.250, 0.250, 0.250], [0.750, 0.750, 0.750], [0.500, 0.500, 0.500]], "dft_energy_ev_per_atom": -6.082}

Entry 20:
{"formula": "Sm2Dy4YEr2", "functional": "PBE", "state": "relaxed", "lattice_angstrom": [[3.592, 0.000, 0.000], [-1.796, 9.308, -0.478], [0.000, -3.694, 8.791]], "species": ["Sm", "Sm", "Dy", "Dy", "Dy", "Dy", "Y", "Er", "Er"], "fractional_positions": [[0.852, 0.704, 0.333], [0.148, 0.296, 0.667], [0.815, 0.630, 0.667], [0.185, 0.370, 0.333], [0.519, 0.038, 0.333], [0.481, 0.962, 0.667], [0.000, 0.000, 0.000], [0.333, 0.666, 0.999], [0.667, 0.334, 0.001]], "dft_energy_ev_per_atom": -4.817}

Ρ values (in Mg/m³) by entry order: 9.01; 4.65; 10.35; 6.73; 6.26; 8.92; 3.43; 7.57; 4.29; 11.97; 11.23; 9.81; 9.48; 5.92; 6.35; 5.86; 7.63; 5.79; 8.27; 7.93.